A relaxed NiSn crystal. Source: Alexandria via LeMat-Bulk, functional PBE.

Computed properties:
- V (Å³/atom) = 18.24
- calculated formation energy (eV per atom) = 0.072

Lattice parameters (Å, degrees): 3.7229 3.7229 3.7229 60.00 60.00 60.00
Atoms (fractional coordinates):
Ni  0.0000  0.0000  0.0000
Sn  0.5000  0.5000  0.5000

A relaxed HfCr2Cl crystal. Source: Alexandria via LeMat-Bulk, functional PBE.

Computed properties:
- V (Å³/atom) = 17.12
- polymorph energy (0 for the lowest one) (eV/atom) = 0.3231

Lattice parameters (Å, degrees): 4.5925 4.5925 4.5925 60.00 60.00 60.00
Atoms (fractional coordinates):
Hf  0.0000  0.0000  0.0000
Cr  0.2500  0.2500  0.2500
Cr  0.7500  0.7500  0.7500
Cl  0.5000  0.5000  0.5000

A relaxed SrFe2Au crystal. Source: Alexandria via LeMat-Bulk, functional PBE.

Computed properties:
- V (Å³/atom) = 22.31
- calculated formation energy (eV per atom) = 0.190

Lattice parameters (Å, degrees): 4.4956 4.4956 5.7863 110.30 110.30 56.11
Atoms (fractional coordinates):
Sr  0.0000  0.0000  0.0000
Fe  0.1992  0.1992  0.5746
Fe  0.8008  0.8008  0.4254
Au  0.5000  0.5000  0.5000